First-principles (PBE) data for crystalline Pr3Nd2Ir2 at its relaxed geometry, as listed in Alexandria via LeMat-Bulk.

Calculated values
formation energy from the elements	-0.464	eV per atom
calculated volume	29.72	Å³/atom
VASP energy	-89.693	eV per cell
space group	C2/m, No. 12

abc: 12.5515 3.9834 9.2389
angles: 90.00 115.75 90.00
Closest atoms and distances in Å follow each position.
Fractional coordinates of all 14 atoms:
1 Pr 0.0000 0.0000 0.0000  4 Ir 3.12
2 Pr 0.1166 0.0000 0.4264  3 Ir 2.95-3.01
3 Pr 0.3834 0.5000 0.5736  3 Ir 2.95-3.01
4 Pr 0.5000 0.5000 0.0000  4 Ir 3.12
5 Pr 0.6166 0.5000 0.4264  3 Ir 2.95-3.01
6 Pr 0.8834 0.0000 0.5736  3 Ir 2.95-3.01
7 Nd 0.1714 0.5000 0.8104  2 Ir 2.90
8 Nd 0.3286 0.0000 0.1896  2 Ir 2.90
9 Nd 0.6714 0.0000 0.8104  2 Ir 2.90
10 Nd 0.8286 0.5000 0.1896  2 Ir 2.90
11 Ir 0.1813 0.5000 0.2425  2 Nd 2.90, 5 Pr 2.95-3.12
12 Ir 0.3187 0.0000 0.7575  2 Nd 2.90, 5 Pr 2.95-3.12
13 Ir 0.6813 0.0000 0.2425  2 Nd 2.90, 5 Pr 2.95-3.12
14 Ir 0.8187 0.5000 0.7575  2 Nd 2.90, 5 Pr 2.95-3.12